VASP calculation (PBE) on Ba2BeCu after structural relaxation.

Unit cell a=8.574 b=8.574 c=7.954 alpha=90.00 beta=90.00 gamma=90.00
Space group I-42d (No. 122)
Symmetry-distinct sites (fractional):
Ba1 0.245 0.250 0.125 x8
Be1 0.000 0.000 0.500 x4
Cu1 0.000 0.000 0.000 x4

Results
For the mass density, the calculation gives 3.9 Mg/m³. As for the formation energy: 625 meV/atom. The calculation puts the total magnetic moment at 0.000 Bohr magnetons per cell. As for the energy: -2.2918 eV/atom.